1:
SrSnBi (PBE, relaxed); total magnetization = 0.0 μB per formula unit; density = 6.82 g/cm3
1.0
4.1900 0.0000 0.0000
0.0000 4.1900 0.0000
-2.0950 -2.0950 5.7627
Bi Sn Sr
1 1 1
Cartesian
2.0950 2.0950 2.2542
0.0000 0.0000 3.5101
2.0950 2.0950 5.7611


2:
SrSnBi (PBE, relaxed); total magnetization = 0.0 μB per formula unit; density = 6.53 g/cm3
1.0
-0.0811 -4.6997 -0.3610
4.3843 0.0401 -1.5077
0.9489 -0.7744 9.8673
Sn Sr Bi
2 2 2
Cartesian
3.5823 -1.4935 3.2480
1.6698 -3.9404 4.7505
0.5784 -3.6783 1.5840
4.6737 -1.7556 6.4146
2.6057 -1.2590 0.4147
2.6464 -4.1749 7.5839


2 is preferred energetically. Next in line: 0.082 eV/atom higher.


1:
SrSnBi (PBE, relaxed); total magnetization = 0.0 μB per formula unit; density = 6.78 g/cm3
1.0
-5.1508 -0.6514 -3.8876
2.4974 -4.0690 0.3460
-2.7128 -1.0186 6.7193
Sr Sn Bi
2 2 2
Cartesian
-4.3346 -3.1922 1.1764
-0.1993 -3.5995 0.0237
-1.8245 -4.2930 3.2020
-2.6530 -1.8499 4.7363
-0.7509 -0.9295 2.3051
-2.7561 -2.5044 -2.1776


2:
SrSnBi (PBE, relaxed); total magnetization = 0.0 μB per formula unit; density = 6.45 g/cm3
1.0
-4.3321 0.2597 0.8762
0.9847 -0.8456 5.1194
-0.0874 4.9296 -1.8932
Bi Sr Sn
1 1 1
Cartesian
-0.7204 0.0432 0.1457
-2.6182 3.1777 1.0285
-0.0962 1.1228 2.9282


1 is preferred energetically. Next in line: 0.064 eV/atom higher.


1:
SrSnBi4 (PBE, relaxed); total magnetization = 0.0 μB per formula unit; density = 8.31 g/cm3
1.0
-4.5198 -1.1958 4.6166
-0.9317 -7.5678 -2.8723
8.6959 1.9742 3.5347
Bi Sn Sr
8 2 2
Cartesian
1.7399 -1.9058 4.4568
-0.7078 -2.6138 2.5107
-0.1898 -1.5414 -0.5850
4.5126 0.3764 4.4959
3.9523 -4.1755 2.7682
-0.7419 -6.0264 -2.2873
1.5045 -4.8836 0.8221
-1.2682 -7.1657 0.7831
6.2234 -1.8107 2.7520
-2.9790 -4.9787 2.5269
0.4492 -5.9261 3.9113
2.7952 -0.8632 1.3677


2:
SrSnBi4 (PBE, relaxed); total magnetization = 0.0 μB per formula unit; density = 8.40 g/cm3
1.0
-5.1500 2.5314 3.3190
-6.1818 -1.7381 -1.6462
-3.5495 -3.8593 4.0562
Bi Sr Sn
4 1 1
Cartesian
-6.2015 -1.0439 4.4142
-9.3136 -1.9189 3.5855
-6.7210 -3.1932 1.9147
-7.5267 0.0239 1.5435
-3.7204 -0.7665 1.4322
0.0000 0.0000 0.0000


1 is preferred energetically. Next in line: 0.112 eV/atom higher.


1:
SrSnBi3 (PBE, relaxed); total magnetization = 0.0 μB per formula unit; density = 6.39 g/cm3
1.0
-4.5785 -3.9969 1.9286
2.6676 -4.6932 -3.3934
6.8774 1.6237 9.1515
Sn Bi Sr
2 6 2
Cartesian
0.0000 0.0000 0.0000
4.2948 -3.7073 2.5129
4.4787 -2.0581 6.3673
3.4763 -4.2025 -0.4565
4.6331 -5.3958 5.1142
2.1356 -1.8438 1.2489
6.9342 -3.3871 4.1449
0.4878 -5.0083 1.3194
-1.8288 -2.2100 1.6189
3.1722 -4.5082 8.7288


2:
SrSnBi3 (PBE, relaxed); total magnetization = 0.0 μB per formula unit; density = 6.25 g/cm3
1.0
-2.9672 -5.1947 0.8899
5.0065 -2.4591 2.3386
-1.6467 1.8839 5.5064
Bi Sr Sn
3 1 1
Cartesian
2.5033 -1.2295 1.1693
-1.4836 -2.5974 0.4450
-0.8234 0.9420 2.7532
0.0000 0.0000 0.0000
0.1963 -2.8849 4.3674


1 is preferred energetically. Next in line: 0.752 eV/atom higher.


1:
Sr2SnBi2 (PBE, relaxed); total magnetization = 0.0 μB per formula unit; density = 5.93 g/cm3
1.0
6.7215 0.0000 0.0000
3.3607 7.6372 -0.5091
3.3607 1.8887 7.6450
Sr Sn Bi
4 2 4
Cartesian
6.7215 7.1873 3.4937
10.0822 4.1632 6.4634
3.3607 5.3627 0.6725
6.7214 2.3386 3.6422
10.0822 8.2451 6.4464
3.3607 1.2807 0.6895
3.3607 3.0418 3.1823
10.0822 6.4841 3.9536
6.7215 4.8559 5.9589
6.7215 4.6699 1.1770


2:
Sr2SnBi2 (PBE, relaxed); total magnetization = 0.0 μB per formula unit; density = 6.62 g/cm3
1.0
-4.5933 -1.3240 8.0160
-4.5075 -7.2460 -3.7797
2.9693 -2.5177 1.2856
Bi Sr Sn
4 4 2
Cartesian
-0.7973 -2.9368 2.6272
-5.3342 -8.1509 2.8947
-2.3304 -6.3520 -0.5203
-3.8011 -4.7357 6.0422
-3.5197 -1.8138 4.5773
-5.5811 -6.7562 -0.3410
-6.8355 -5.7429 4.5409
-2.2653 -2.8271 -0.3046
-4.5504 -4.2850 2.1182
0.0000 0.0000 0.0000


3:
Sr2SnBi2 (PBE, relaxed); total magnetization = 0.0 μB per formula unit; density = 6.68 g/cm3
1.0
-6.0010 -6.0174 0.9555
3.2614 -2.0396 7.6379
-2.9109 3.2377 2.1075
Sr Bi Sn
4 4 2
Cartesian
-0.2991 -0.7959 6.3605
-2.7982 -4.1181 8.0125
-5.3515 -4.0234 4.3405
-2.8524 -0.7012 2.6885
0.6211 -3.9888 6.9857
-3.1524 -6.5141 5.6532
0.4127 -1.5429 2.9402
-3.3608 -4.0681 1.6078
-1.3698 -4.0285 4.2967
0.0000 0.0000 0.0000


4:
Sr2SnBi2 (PBE, relaxed); total magnetization = 0.0 μB per formula unit; density = 6.69 g/cm3
1.0
4.2771 0.0043 1.8194
1.5908 6.0923 2.1820
-0.3064 0.0077 6.6570
Sr Bi Sn
2 2 1
Cartesian
1.3252 1.3492 5.7846
4.2362 4.7552 4.8738
1.0421 4.8276 6.4436
4.5193 1.2768 4.2148
2.9339 3.0483 2.0007


4 is preferred energetically. Next in line: 0.031 eV/atom higher.


1:
SrSn3Bi (PBE, relaxed); total magnetization = 0.0 μB per formula unit; density = 5.17 g/cm3
1.0
-0.5510 2.7661 -5.2263
4.0397 -3.6571 -2.3614
-4.3182 -3.7741 -1.5423
Sn Bi Sr
3 1 1
Cartesian
-0.2755 1.3830 -2.6132
-2.1591 -1.8870 -0.7711
2.0198 -1.8285 -1.1807
-0.4148 -2.3325 -4.5650
0.0000 0.0000 0.0000


2:
SrSn3Bi (PBE, relaxed); total magnetization = 0.0 μB per formula unit; density = 5.25 g/cm3
1.0
5.9109 0.0000 0.0000
0.0000 5.9109 0.0000
0.0000 0.0000 5.9109
Sn Bi Sr
3 1 1
Cartesian
0.0000 0.0000 2.9555
2.9555 0.0000 0.0000
0.0000 2.9555 0.0000
0.0000 0.0000 0.0000
2.9555 2.9555 2.9555


2 is preferred energetically. Next in line: 0.559 eV/atom higher.


1:
Ta3SnBi (PBE, relaxed); total magnetization = 0.0 μB per formula unit; density = 10.61 g/cm3
1.0
5.1459 0.0000 0.0000
0.0000 5.1459 0.0000
0.0000 0.0000 5.1459
Ta Bi Sn
3 1 1
Cartesian
2.5729 0.0000 0.0000
0.0000 2.5729 0.0000
0.0000 0.0000 2.5729
0.0000 0.0000 0.0000
2.5729 2.5729 2.5729


2:
Ta3SnBi (PBE, relaxed); total magnetization = 0.0 μB per formula unit; density = 11.02 g/cm3
1.0
5.0813 0.0000 0.0000
0.0000 5.0813 0.0000
0.0000 0.0000 5.0813
Ta Bi Sn
3 1 1
Cartesian
2.5406 0.0000 0.0000
0.0000 0.0000 2.5406
0.0000 2.5406 0.0000
2.5406 2.5406 2.5406
0.0000 0.0000 0.0000


2 is preferred energetically. Next in line: 0.308 eV/atom higher.


1:
TaSnBi3 (PBE, relaxed); total magnetization = 0.0 μB per formula unit; density = 8.63 g/cm3
1.0
-4.8224 -2.7910 0.8008
2.7585 -3.9193 2.9524
-0.9063 2.9217 4.7254
Sn Bi Ta
1 3 1
Cartesian
0.0000 0.0000 0.0000
-2.4112 -1.3955 0.4004
-0.4531 1.4608 2.3627
1.3793 -1.9596 1.4762
-1.4851 -1.8943 4.2392


2:
TaSnBi3 (PBE, relaxed); total magnetization = 0.0 μB per formula unit; density = 9.10 g/cm3
1.0
5.5305 0.0000 0.0000
0.0000 5.5305 0.0000
0.0000 0.0000 5.5305
Ta Bi Sn
1 3 1
Cartesian
0.0000 0.0000 0.0000
0.0000 2.7652 0.0000
0.0000 0.0000 2.7652
2.7652 0.0000 0.0000
2.7652 2.7652 2.7652


2 is preferred energetically. Next in line: 1.058 eV/atom higher.


1:
TaSn2Bi2 (PBE, relaxed); total magnetization = 0.9 μB per formula unit; density = 9.63 g/cm3
1.0
7.5844 0.0000 0.0000
0.0000 7.5844 0.0000
0.0000 0.0000 5.0140
Bi Ta Sn
4 2 4
Cartesian
2.6169 6.4091 0.0000
1.1753 2.6169 0.0000
4.9675 1.1753 0.0000
6.4091 4.9675 0.0000
3.7922 3.7922 0.0000
0.0000 0.0000 0.0000
1.2192 5.0114 2.5070
2.5730 1.2192 2.5070
5.0114 6.3652 2.5070
6.3652 2.5730 2.5070


2:
TaSn2Bi2 (PBE, relaxed); total magnetization = 0.8 μB per formula unit; density = 9.47 g/cm3
1.0
3.9245 0.0000 0.0000
0.0000 3.9245 0.0000
1.9623 1.9623 9.5242
Ta Sn Bi
1 2 2
Cartesian
0.0000 0.0000 0.0000
1.9623 3.9245 4.7621
3.9245 1.9623 4.7621
3.9245 3.9245 7.9453
1.9623 1.9623 1.5790


1 is preferred energetically. Next in line: 0.012 eV/atom higher.


1:
SnBi2Te4 (PBE, relaxed); total magnetization = 0.0 μB per formula unit; density = 6.76 g/cm3
1.0
15.0963 0.0152 0.0186
14.4326 4.4271 0.0186
12.9979 1.9554 19.3168
Te Bi Sn
20 10 5
Cartesian
26.5481 3.9939 12.7185
34.3413 5.1663 8.2221
16.0295 2.4115 6.6256
27.1914 4.0907 5.0748
33.6962 5.0693 15.9360
22.6510 3.4076 14.9838
8.1438 1.2251 11.1748
23.1391 3.4810 7.3661
19.8786 2.9905 4.3384
12.9635 1.9502 1.0694
37.0721 5.5771 18.8038
31.0260 4.6675 2.8244
15.3399 2.3077 14.3173
30.4249 4.5771 10.5100
29.7742 4.4792 18.1397
11.4605 1.7241 16.6049
5.3895 0.8108 0.5647
19.3802 2.9156 12.0683
8.9019 1.3392 3.3242
12.0699 1.8158 8.8250
28.2158 4.2448 15.5736
9.7381 1.4650 13.8799
32.7222 4.9227 5.4578
32.4105 4.8758 13.2535
14.2423 2.1426 3.8680
24.0651 3.6203 17.6528
17.0033 2.5580 17.0426
24.6007 3.7009 10.0238
21.9960 3.3091 2.0591
17.8738 2.6889 9.3594
25.8991 3.8963 2.0581
18.2153 2.7403 1.7161
13.7230 2.0645 11.4977
28.7160 4.3200 7.7874
10.0834 1.5169 6.2561


2:
SnBi2Te4 (PBE, relaxed); total magnetization = 0.0 μB per formula unit; density = 6.95 g/cm3
1.0
-10.7377 0.4882 10.0928
-13.2294 -0.3830 6.4989
-11.2865 -3.7211 8.7274
Te Sn Bi
4 1 2
Cartesian
-4.5632 -0.4680 3.2773
-30.6905 -3.1478 22.0418
-25.0163 -2.5658 17.9666
-10.2374 -1.0500 7.3525
0.0000 0.0000 0.0000
-14.9387 -1.5322 10.7289
-20.3149 -2.0836 14.5901


2 is preferred energetically. Next in line: 0.028 eV/atom higher.


1:
SnBi2Te2 (PBE, relaxed); total magnetization = 0.0 μB per formula unit; density = 7.74 g/cm3
1.0
-2.7670 -3.2522 -1.0820
1.5361 0.0664 -4.1279
5.4713 -7.4935 -0.4349
Bi Te Sn
2 2 1
Cartesian
3.1960 -4.5100 -3.5839
1.0444 -6.1693 -2.0609
0.4648 -2.6401 -2.2198
3.7756 -8.0392 -3.4250
0.0000 0.0000 0.0000


2:
SnBi2Te2 (PBE, relaxed); total magnetization = 0.0 μB per formula unit; density = 8.17 g/cm3
1.0
8.9543 0.0000 0.0000
0.0000 8.9543 0.0000
0.0000 0.0000 4.0156
Sn Te Bi
2 4 4
Cartesian
0.0000 0.0000 0.0000
4.4771 4.4771 0.0000
7.6010 5.8304 0.0000
1.3533 3.1238 0.0000
3.1238 7.6010 0.0000
5.8304 1.3533 0.0000
1.4962 5.9733 2.0078
7.4581 2.9810 2.0078
2.9810 1.4962 2.0078
5.9733 7.4581 2.0078


3:
SnBi2Te2 (PBE, relaxed); total magnetization = 0.0 μB per formula unit; density = 7.29 g/cm3
1.0
6.1439 0.0000 0.0000
0.0000 6.1439 0.0000
3.0720 3.0720 4.7784
Te Sn Bi
2 1 2
Cartesian
3.0720 6.1439 2.3892
6.1439 3.0720 2.3892
0.0000 0.0000 0.0000
3.0720 3.0720 1.6137
6.1439 6.1439 3.1647


2 is preferred energetically. Next in line: 0.035 eV/atom higher.